{"formula": "CoSi2", "functional": "GGA-PBE", "state": "relaxed", "space_group": "Cmcm, No. 63", "dft_energy_ev_per_atom": -6.020, "formation_energy_uncorrected_kj_per_mol_fu": -10, "lattice": [[1.6399, -5.5495, 0.0000], [1.6399, 5.5495, 0.0000], [0.0000, 0.0000, 3.9675]], "species": ["Co", "Co", "Si", "Si", "Si", "Si"], "frac_coords": [[0.1030, 0.8970, 0.7500], [0.8970, 0.1030, 0.2500], [0.2356, 0.7644, 0.2500], [0.4343, 0.5657, 0.7500], [0.5657, 0.4343, 0.2500], [0.7644, 0.2356, 0.7500]]}

---

{"formula": "CoSi2", "functional": "GGA-PBE", "state": "relaxed", "space_group": "P-3m1, No. 164", "dft_energy_ev_per_atom": -6.165, "formation_energy_uncorrected_kj_per_mol_fu": -53, "lattice": [[2.8035, 0.0000, 0.0000], [-1.4018, 2.4279, 0.0000], [0.0000, 0.0000, 5.4045]], "species": ["Co", "Si", "Si"], "frac_coords": [[0.0000, 0.0000, 0.0000], [0.3333, 0.6667, 0.3108], [0.6667, 0.3333, 0.6892]]}

---

> Which formula does entry 1 have?

CoSi2